# PBE CeLuPuZn, optimized geometry
data_CeLuPuZn
_chemical_formula_sum 'Ce1 Lu1 Pu1 Zn1'
_symmetry_space_group_name_H-M 'P 1'
_symmetry_Int_Tables_number 1
_cell_length_a 5.163
_cell_length_b 5.163
_cell_length_c 5.163
_cell_angle_alpha 60.00
_cell_angle_beta 60.00
_cell_angle_gamma 60.00
loop_
_symmetry_equiv_pos_as_xyz
'x,y,z'
loop_
_atom_site_label
_atom_site_fract_x
_atom_site_fract_y
_atom_site_fract_z
Zn1 0.250 0.250 0.250
Lu1 0.500 0.500 0.500
Ce1 0.000 0.000 0.000
Pu1 0.750 0.750 0.750
# Energy relative to the elements (meV/atom): 45
# Spin magnetization (Bohr magnetons per cell): 8.7

# PBE Er5Sc2Tl5, optimized geometry
data_Er5Sc2Tl5
_chemical_formula_sum 'Er5 Sc2 Tl5'
_symmetry_space_group_name_H-M 'P 1'
_symmetry_Int_Tables_number 1
_cell_length_a 4.974
_cell_length_b 6.453
_cell_length_c 11.891
_cell_angle_alpha 110.08
_cell_angle_beta 90.00
_cell_angle_gamma 112.67
loop_
_symmetry_equiv_pos_as_xyz
'x,y,z'
loop_
_atom_site_label
_atom_site_fract_x
_atom_site_fract_y
_atom_site_fract_z
Er1 0.500 0.000 0.500
Er2 0.651 0.303 0.000
Er3 0.641 0.283 0.279
Er4 0.359 0.717 0.721
Er5 0.349 0.697 0.000
Sc1 0.076 0.151 0.764
Sc2 0.924 0.849 0.236
Tl1 0.152 0.304 0.463
Tl2 0.720 0.440 0.774
Tl3 0.280 0.560 0.226
Tl4 0.848 0.696 0.537
Tl5 0.000 0.000 0.000
# Energy relative to the elements (meV/atom): -187
# Spin magnetization (Bohr magnetons per cell): 0.0

# PBE Ac2Ga2Cu, optimized geometry
data_Ac2Ga2Cu
_chemical_formula_sum 'Ac4 Ga4 Cu2'
_symmetry_space_group_name_H-M 'P 1'
_symmetry_Int_Tables_number 1
_cell_length_a 4.544
_cell_length_b 6.268
_cell_length_c 10.532
_cell_angle_alpha 82.29
_cell_angle_beta 77.54
_cell_angle_gamma 68.75
loop_
_symmetry_equiv_pos_as_xyz
'x,y,z'
loop_
_atom_site_label
_atom_site_fract_x
_atom_site_fract_y
_atom_site_fract_z
Ac1 0.710 0.230 0.350
Ac2 0.901 0.306 0.893
Ac3 0.290 0.770 0.650
Ac4 0.099 0.694 0.107
Ga1 0.047 0.326 0.580
Ga2 0.613 0.887 0.887
Ga3 0.953 0.674 0.420
Ga4 0.387 0.113 0.113
Cu1 0.568 0.186 0.679
Cu2 0.432 0.814 0.321
# Energy relative to the elements (meV/atom): -423
# Spin magnetization (Bohr magnetons per cell): 0.0

Number 3 is which compound? Ac2Ga2Cu